Material: ScAs4P
Method: DFT, SCAN
State: PBEsol geometry

The structure belongs to space group F-43m (No. 216); the cell edges are 7.652, 7.652 and 7.652 Å and the angles 90.00°, 90.00° and 90.00°. The inequivalent atoms are Sc at (0.000, 0.000, 0.000), As at (0.124, 0.124, 0.376) and P at (0.250, 0.250, 0.750).

Its formation energy is 99 kJ/mol of formula units. The raw total energy comes out at -17.3961 eV per atom.

=====

Material: Sc2AsP
Method: DFT, SCAN
State: PBEsol geometry

The structure belongs to space group P4/mmm (No. 123); the cell edges are 3.771, 3.771 and 5.329 Å and the angles 90.00°, 90.00° and 90.00°. The inequivalent atoms are Sc at (0.000, 0.000, 0.000), Sc at (0.500, 0.500, 0.500), As at (0.000, 0.000, 0.500) and P at (0.500, 0.500, 0.000).

Its formation energy is -616 kJ/mol of formula units. The raw total energy comes out at -16.3610 eV per atom.

=====

Material: Sc2AsP
Method: DFT, SCAN
State: PBEsol geometry

The structure belongs to space group P4/mmm (No. 123); the cell edges are 3.224, 3.224 and 6.824 Å and the angles 90.00°, 90.00° and 90.00°. The inequivalent atoms are Sc at (0.000, 0.000, 0.230), As at (0.500, 0.500, 0.500) and P at (0.500, 0.500, 0.000).

Its formation energy is -387 kJ/mol of formula units. The raw total energy comes out at -15.7684 eV per atom.

=====

Material: Sc2AsP
Method: DFT, SCAN
State: PBEsol geometry

The structure belongs to space group R-3m (No. 166, hexagonal axes); the cell edges are 3.7646, 3.7646 and 18.5049 Å and the angles 90.00°, 90.00° and 120.00°. The inequivalent atoms are Sc at (0.0000, 0.0000, 0.2472), As at (0.0000, 0.0000, 0.0000) and P at (0.0000, 0.0000, 0.5000).

Its formation energy is -619 kJ/mol of formula units. The raw total energy comes out at -16.3693 eV per atom.

=====

Material: AsPSe2
Method: DFT, SCAN
State: PBEsol geometry

The structure belongs to space group Fm-3m (No. 225); the cell edges are 6.582, 6.582 and 6.582 Å and the angles 90.00°, 90.00° and 90.00°. The inequivalent atoms are As at (0.000, 0.000, 0.000), P at (0.000, 0.000, 0.500) and Se at (0.250, 0.250, 0.250).

Its uncorrected formation energy is 0.68 eV/atom. The raw total energy comes out at -17.0098 eV per atom.

=====

Material: AsPSe3
Method: DFT, SCAN
State: PBEsol geometry

The structure belongs to space group Pm-3m (No. 221); the cell edges are 4.727, 4.727 and 4.727 Å and the angles 90.00°, 90.00° and 90.00°. The inequivalent atoms are As at (0.000, 0.000, 0.000), P at (0.500, 0.500, 0.500) and Se at (0.000, 0.500, 0.500).

Its uncorrected formation energy is 0.71 eV/atom. The raw total energy comes out at -17.4559 eV per atom.

=====

Material: As2PSe
Method: DFT, SCAN
State: PBEsol geometry

The structure belongs to space group I-4m2 (No. 119); the cell edges are 3.587, 3.587 and 13.018 Å and the angles 90.00°, 90.00° and 90.00°. The inequivalent atoms are As at (0.000, 0.000, 0.000), As at (0.000, 0.500, 0.250), P at (0.000, 0.000, 0.500) and Se at (0.000, 0.500, 0.750).

Its uncorrected formation energy is 0.56 eV/atom. The raw total energy comes out at -17.1564 eV per atom.

=====

Material: AsPSe2
Method: DFT, SCAN
State: PBEsol geometry

The structure belongs to space group P4mm (No. 99); the cell edges are 3.492, 3.492 and 7.472 Å and the angles 90.00°, 90.00° and 90.00°. The inequivalent atoms are As at (0.000, 0.000, 0.000), P at (0.500, 0.500, 0.918), Se at (0.000, 0.000, 0.306) and Se at (0.500, 0.500, 0.630).

Its uncorrected formation energy is 0.18 eV/atom. The raw total energy comes out at -17.5090 eV per atom.

=====

Number 1: magnetic moment 0.00 μB per cell. Number 2: magnetic moment 0.00 μB per cell. Number 3: magnetic moment 0.00 μB per cell. Number 4: magnetic moment 0.00 μB per cell. Number 5: magnetic moment 0.00 μB per cell. Number 6: magnetic moment 0.00 μB per cell. Number 7: magnetic moment 0.00 μB per cell. Number 8: magnetic moment 0.00 μB per cell.